(1)
VASP calculation (PBE) on Ho2Ga2CuPd5 after structural relaxation.

```
data_Ho2Ga2CuPd5
_chemical_formula_sum 'Ho4 Ga4 Cu2 Pd10'
_symmetry_space_group_name_H-M 'P 1'
_symmetry_Int_Tables_number 1
_cell_length_a 3.614
_cell_length_b 9.864
_cell_length_c 9.864
_cell_angle_alpha 90.00
_cell_angle_beta 90.00
_cell_angle_gamma 90.00
loop_
_symmetry_equiv_pos_as_xyz
'x,y,z'
loop_
_atom_site_label
_atom_site_type_symbol
_atom_site_fract_x
_atom_site_fract_y
_atom_site_fract_z
Ho1 Ho 0.000 0.825 0.675
Ho2 Ho 0.000 0.675 0.175
Ho3 Ho 0.000 0.325 0.825
Ho4 Ho 0.000 0.175 0.325
Cu1 Cu 0.000 0.500 0.500
Cu2 Cu 0.000 0.000 0.000
Pd1 Pd 0.500 0.441 0.301
Pd2 Pd 0.500 0.500 0.000
Pd3 Pd 0.500 0.559 0.699
Pd4 Pd 0.500 0.199 0.059
Pd5 Pd 0.500 0.000 0.500
Pd6 Pd 0.500 0.699 0.441
Pd7 Pd 0.500 0.059 0.801
Pd8 Pd 0.500 0.801 0.941
Pd9 Pd 0.500 0.301 0.559
Pd10 Pd 0.500 0.941 0.199
Ga1 Ga 0.000 0.875 0.375
Ga2 Ga 0.000 0.375 0.125
Ga3 Ga 0.000 0.125 0.625
Ga4 Ga 0.000 0.625 0.875
```

## Properties
Density of states at the Fermi level in states/eV/f.u.: 6.06
Formation energy from the elements in eV/atom: -0.65
VASP energy in hartree per atom: -0.1901
Symmetry: P4/mbm, No. 127

(2)
VASP calculation (PBE) on KTe2Os after structural relaxation.

```
data_KTe2Os
_chemical_formula_sum 'K1 Te2 Os1'
_symmetry_space_group_name_H-M 'P 1'
_symmetry_Int_Tables_number 1
_cell_length_a 5.196
_cell_length_b 5.196
_cell_length_c 5.196
_cell_angle_alpha 60.00
_cell_angle_beta 60.00
_cell_angle_gamma 60.00
loop_
_symmetry_equiv_pos_as_xyz
'x,y,z'
loop_
_atom_site_label
_atom_site_type_symbol
_atom_site_fract_x
_atom_site_fract_y
_atom_site_fract_z
K1 K 0.500 0.500 0.500
Os1 Os 0.750 0.750 0.750
Te1 Te 0.250 0.250 0.250
Te2 Te 0.000 0.000 0.000
```

## Properties
Raw formation energy in eV/f.u.: 4.5
Density of states at the Fermi level in states/eV/f.u.: 4.36
VASP energy in hartree per atom: -0.1296
Excess energy over the best structure of this formula in the dataset in meV per atom: 1293
Symmetry: F-43m, No. 216